This record from Alexandria describes a geometry-optimized LiHfCoGe structure. The functional is PBE.

Lattice parameters (Å, degrees): 4.2561 4.2561 4.2561 60.00 60.00 60.00
Positions (direct):
Co1 0.0000 0.0000 0.0000
Ge1 0.7500 0.7500 0.7500
Hf1 0.2500 0.2500 0.2500
Li1 0.5000 0.5000 0.5000

Results
Space group: No. 216
V (Å³/f.u.): 55
Density (Mg/m³): 9.66
Energy relative to the elements (meV per atom): -507
VASP energy (eV/atom): -6.405